VASP calculation (PBE) on Nd3Tl3Ag after structural relaxation.

Properties
The calculation puts the formation energy at -2.17 eV per formula unit. As for the space-group type: C2/m.

Cell lengths 6.2999, 6.2999, 15.6888 Å; angles 107.75, 107.75, 44.24 degrees
Last column: nearest neighbours and their distance in Å.
Sites, in units of the cell vectors:
Nd: 0.0399 0.0399 0.3854  4 Ag 3.32-3.69, 7 Tl 3.33-3.58
Nd: 0.1007 0.1007 0.9228  7 Tl 3.22-3.53
Nd: 0.2322 0.2322 0.2280  6 Tl 3.25-3.51, 2 Ag 3.40
Nd: 0.7678 0.7678 0.7720  6 Tl 3.25-3.51, 2 Ag 3.40
Nd: 0.8993 0.8993 0.0772  7 Tl 3.22-3.53
Nd: 0.9601 0.9601 0.6146  4 Ag 3.32-3.69, 7 Tl 3.33-3.58
Tl: 0.3645 0.3645 0.4536  3 Ag 2.82-3.15, 1 Tl 3.02
Tl: 0.3774 0.3774 0.9246  2 Tl 3.06-3.12, 5 Nd 3.22-3.32
Tl: 0.4879 0.4879 0.7686  1 Ag 2.92, 1 Tl 3.12, 1 Nd 3.25
Tl: 0.5121 0.5121 0.2314  1 Ag 2.92, 1 Tl 3.12, 1 Nd 3.25
Tl: 0.6226 0.6226 0.0754  2 Tl 3.06-3.12, 5 Nd 3.22-3.32
Tl: 0.6355 0.6355 0.5464  3 Ag 2.82-3.15, 1 Tl 3.02
Ag: 0.2618 0.2618 0.6156  4 Tl 2.82-3.15
Ag: 0.7382 0.7382 0.3844  4 Tl 2.82-3.15